{
  "formula": "NbZnMoAs2",
  "functional": "PBE",
  "state": "optimized geometry",
  "lattice": [[4.9595, 0.0000, 0.0000], [0.0000, 4.9783, 0.0000], [0.0000, 0.0000, 4.9595]],
  "species": ["As", "Nb", "Zn", "As", "Mo"],
  "frac_coords": [[0.0000, 0.0000, 0.5000], [0.0000, 0.0000, 0.0000], [0.5000, 0.5000, 0.5000], [0.5000, 0.0000, 0.0000], [0.0000, 0.5000, 0.0000]],
  "total_magnetization_mub_per_cell": 2.0,
  "formation_energy_ev_per_atom": 0.999,
  "spacegroup": "P4/mmm (123)",
  "energy_ev_per_atom": -5.2962
}

---

{
  "formula": "Ac2MgAl3Ag4",
  "functional": "PBE",
  "state": "optimized geometry",
  "lattice": [[-4.0181, -0.9350, 2.1112], [-0.0779, -4.1800, -1.9995], [5.4061, -4.1445, 8.4538]],
  "species": ["Ag", "Al", "Al", "Al", "Ac", "Ag", "Ac", "Mg", "Ag", "Ag"],
  "frac_coords": [[0.5000, 0.5000, 0.0000], [0.0000, 0.0000, 0.5000], [0.0000, 0.5000, 0.1265], [0.5000, 0.0000, 0.8735], [0.5000, 0.0000, 0.2416], [0.5000, 0.0000, 0.6332], [0.0000, 0.5000, 0.7584], [0.5000, 0.5000, 0.5000], [0.0000, 0.0000, 0.0000], [0.0000, 0.5000, 0.3668]],
  "total_magnetization_mub_per_cell": 0.0,
  "formation_energy_ev_per_atom": -0.309,
  "spacegroup": "P-4m2 (115)",
  "energy_ev_per_atom": -3.5538
}